Material: Mn2TlFe
Method: DFT, PBE
State: relaxed

CIF file:
```
data_Mn2TlFe
_cell_length_a 4.002
_cell_length_b 4.002
_cell_length_c 7.688
_cell_angle_alpha 90.00
_cell_angle_beta 90.00
_cell_angle_gamma 90.00
_symmetry_space_group_name_H-M 'P 1'
_symmetry_Int_Tables_number 1
loop_
_symmetry_equiv_pos_as_xyz
'x,y,z'
loop_
_atom_site_label
_atom_site_fract_x
_atom_site_fract_y
_atom_site_fract_z
_atom_site_occupancy
Mn1 0.000 0.500 0.250 1
Mn2 0.000 0.500 0.750 1
Mn3 0.500 0.000 0.250 1
Mn4 0.500 0.000 0.750 1
Tl1 0.000 0.000 0.000 1
Tl2 0.500 0.500 0.500 1
Fe1 0.000 0.000 0.500 1
Fe2 0.500 0.500 0.000 1
```

Calculated formation energy (eV/atom): 0.469
ΔE to the lowest computed polymorph (eV per atom): 0.072
Total magnetic moment (μB per atom): 2.25

Material: KTa2Cu
Method: DFT, PBE
State: relaxed

CIF file:
```
data_KTa2Cu
_cell_length_a 2.843
_cell_length_b 5.959
_cell_length_c 10.659
_cell_angle_alpha 90.00
_cell_angle_beta 90.00
_cell_angle_gamma 90.00
_symmetry_space_group_name_H-M 'P 1'
_symmetry_Int_Tables_number 1
loop_
_symmetry_equiv_pos_as_xyz
'x,y,z'
loop_
_atom_site_label
_atom_site_fract_x
_atom_site_fract_y
_atom_site_fract_z
_atom_site_occupancy
K1 0.000 0.000 0.000 1
K2 0.500 0.500 0.500 1
Ta1 0.000 0.000 0.520 1
Ta2 0.000 0.500 0.810 1
Ta3 0.500 0.000 0.310 1
Ta4 0.500 0.500 0.020 1
Cu1 0.000 0.500 0.233 1
Cu2 0.500 0.000 0.733 1
```

Calculated formation energy (eV/atom): 1.161
ΔE to the lowest computed polymorph (eV per atom): 0.581
Total magnetic moment (μB per atom): 0.09

Material: Tb2HgSe
Method: DFT, PBE
State: relaxed

CIF file:
```
data_Tb2HgSe
_cell_length_a 4.013
_cell_length_b 4.013
_cell_length_c 22.768
_cell_angle_alpha 90.00
_cell_angle_beta 90.00
_cell_angle_gamma 120.00
_symmetry_space_group_name_H-M 'P 1'
_symmetry_Int_Tables_number 1
loop_
_symmetry_equiv_pos_as_xyz
'x,y,z'
loop_
_atom_site_label
_atom_site_fract_x
_atom_site_fract_y
_atom_site_fract_z
_atom_site_occupancy
Tb1 0.000 0.000 0.243 1
Tb2 0.000 0.000 0.757 1
Tb3 0.333 0.667 0.424 1
Tb4 0.333 0.667 0.910 1
Tb5 0.667 0.333 0.090 1
Tb6 0.667 0.333 0.576 1
Hg1 0.000 0.000 0.000 1
Hg2 0.333 0.667 0.667 1
Hg3 0.667 0.333 0.333 1
Se1 0.000 0.000 0.500 1
Se2 0.333 0.667 0.167 1
Se3 0.667 0.333 0.833 1
```

Uncorrected formation energy (eV/atom): -1.107
ΔE to the lowest computed polymorph (eV per atom): 0.000
Total magnetic moment (μB per atom): 0.00